No. 1
# Te2CF

A geometry-optimized Te2CF structure (PBE-GGA, Alexandria via LeMat-Bulk).

a b c (Å): 8.0215 8.0215 8.0215
angles (deg): 23.90 23.90 23.90
Last column: nearest neighbours and their distance in Å.
Atoms (fractional coordinates):
Te  0.0991  0.0991  0.0991  1 F 2.32, 3 C 2.48
Te  0.9009  0.9009  0.9009  1 F 2.32, 3 C 2.48
C  0.5000  0.5000  0.5000  6 Te 2.48
F  0.0000  0.0000  0.0000  2 Te 2.32

ΔE_f (raw) = 0.4887 eV/atom
Spin magnetization = 0.0 μB/f.u.


No. 2
# Y2CdCl

A geometry-optimized Y2CdCl structure (PBE-GGA, Alexandria via LeMat-Bulk).

a b c (Å): 10.4882 10.4882 10.4882
angles (deg): 20.09 20.09 20.09
Last column: nearest neighbours and their distance in Å.
Atoms (fractional coordinates):
Y  0.0088  0.0088  0.0088  3 Cl 2.81
Y  0.2511  0.2511  0.2511  3 Cd 3.24, 3 Y 3.51
Cl  0.7355  0.7355  0.7355  3 Y 2.81
Cd  0.5046  0.5046  0.5046  3 Y 3.24

ΔE_f (raw) = -0.6766 eV/atom
Spin magnetization = 0.7 μB/f.u.


No. 3
# In5As

A geometry-optimized In5As structure (PBE-GGA, Alexandria via LeMat-Bulk).

a b c (Å): 6.1733 6.1733 6.1733
angles (deg): 60.00 60.00 60.00
Last column: nearest neighbours and their distance in Å.
Atoms (fractional coordinates):
In  0.1234  0.6255  0.6255  6 In 3.07-3.10
In  0.6255  0.6255  0.6255  6 In 3.07-3.10
In  0.2500  0.2500  0.2500  12 In 3.62, 4 As 3.78
In  0.6255  0.6255  0.1234  6 In 3.07-3.10
In  0.6255  0.1234  0.6255  6 In 3.07-3.10
As  0.0000  0.0000  0.0000  16 In 3.62-3.78

Total DFT energy (no corrections) = -16.8 eV/cell
Spin magnetization = 0.0 μB/f.u.


Copy entry 3 word for word.
# In5As

A geometry-optimized In5As structure (PBE-GGA, Alexandria via LeMat-Bulk).

a b c (Å): 6.1733 6.1733 6.1733
angles (deg): 60.00 60.00 60.00
Last column: nearest neighbours and their distance in Å.
Atoms (fractional coordinates):
In  0.1234  0.6255  0.6255  6 In 3.07-3.10
In  0.6255  0.6255  0.6255  6 In 3.07-3.10
In  0.2500  0.2500  0.2500  12 In 3.62, 4 As 3.78
In  0.6255  0.6255  0.1234  6 In 3.07-3.10
In  0.6255  0.1234  0.6255  6 In 3.07-3.10
As  0.0000  0.0000  0.0000  16 In 3.62-3.78

Total DFT energy (no corrections) = -16.8 eV/cell
Spin magnetization = 0.0 μB/f.u.


Which of these has the highest spin magnetization?
Y2CdCl


The highest spin magnetization belongs to which entry?
Y2CdCl